(1)
VASP calculation (GGA-PBEsol) on Mg2Sn after structural relaxation.

Unit cell a=5.0190 b=5.0190 c=6.1743 alpha=90.00 beta=90.00 gamma=120.00
Last column: nearest neighbours and their distance in Å.
Positions (direct):
Mg 0.0000 0.0000 0.0000  8 Mg 3.09-3.28, 6 Sn 3.28
Mg 0.0000 0.0000 0.5000  8 Mg 3.09-3.28, 6 Sn 3.28
Mg 0.3333 0.6667 0.2500  5 Sn 2.90-3.09
Mg 0.6667 0.3333 0.7500  5 Sn 2.90-3.09
Sn 0.3333 0.6667 0.7500  5 Mg 2.90-3.09
Sn 0.6667 0.3333 0.2500  5 Mg 2.90-3.09

Computed properties:
formation energy from the elements: -0.149 eV per atom
E_tot: -2.7134 eV per atom
M_tot: 0.00 μB per atom
N(E_F): 0.9 states/eV/f.u.

(2)
VASP calculation (GGA-PBEsol) on ZnWBr2 after structural relaxation.

Unit cell a=3.0876 b=3.0876 c=8.5652 alpha=90.00 beta=90.00 gamma=90.00
Last column: nearest neighbours and their distance in Å.
Positions (direct):
Zn 0.0000 0.0000 0.0000  4 Zn 3.09
W 0.0000 0.0000 0.5000  8 Br 2.71
Br 0.5000 0.5000 0.3135  4 W 2.71
Br 0.5000 0.5000 0.6865  4 W 2.71

Computed properties:
E_tot: -4.1101 eV per atom
M_tot: 0.00 μB per atom
N(E_F): 2.8 states/eV/f.u.
uncorrected formation energy: 0.672 eV/atom
energy relative to the lowest polymorph listed for this composition: 414 meV/atom

(3)
VASP calculation (GGA-PBEsol) on MgFe2As after structural relaxation.

Unit cell a=3.7560 b=3.7560 c=3.8286 alpha=90.00 beta=90.00 gamma=90.00
Last column: nearest neighbours and their distance in Å.
Positions (direct):
Mg 0.0000 0.0000 0.0000  4 As 2.66, 8 Fe 2.68
Fe 0.0000 0.5000 0.5000  4 Fe 2.66, 4 As 2.68, 4 Mg 2.68
Fe 0.5000 0.0000 0.5000  4 Fe 2.66, 4 As 2.68, 4 Mg 2.68
As 0.5000 0.5000 0.0000  4 Mg 2.66, 8 Fe 2.68

Computed properties:
formation energy from the elements: 0.091 eV per atom
E_tot: -6.0969 eV per atom
M_tot: 1.23 μB per atom
N(E_F): 3.7 states/eV/f.u.

> Which of these has the highest E_tot?

Mg2Sn

> What is the M_tot in the second record?

0.00 μB per atom